Record 1
The following is a PBE calculation of La3SnRu after structural relaxation, from Alexandria.

The structure in POSCAR format:
```
La3SnRu
1.0
-3.046 3.046 11.179
3.046 -3.046 11.179
3.046 3.046 -11.179
La Sn Ru
6 2 2
Direct
0.213 0.213 0.000
0.373 0.139 0.766
0.373 0.607 0.234
0.393 0.627 0.766
0.787 0.787 0.000
0.861 0.627 0.234
0.250 0.750 0.500
0.500 0.500 0.000
0.698 0.198 0.500
0.802 0.302 0.500
```

Values from the calculation:
Total moment (μB per atom): 0.038
Electronic total energy (eV/atom): -5.21
E above lowest polymorph (meV per atom): 915
Calculated volume (Å³ per atom): 41.50
Calculated formation energy (eV per formula unit): 2.00

Record 2
The following is a PBE calculation of La3SnRu after structural relaxation, from Alexandria.

The structure in POSCAR format:
```
La3SnRu
1.0
4.793 0.000 0.000
-0.002 8.379 0.000
-0.005 -3.998 7.610
La Sn Ru
6 2 2
Direct
0.000 0.000 0.000
0.000 0.173 0.555
0.000 0.616 0.414
0.500 0.854 0.252
0.501 0.362 0.976
0.501 0.582 0.722
0.500 0.275 0.306
0.500 0.941 0.676
0.001 0.468 0.822
0.999 0.731 0.142
```

Values from the calculation:
Total moment (μB per atom): 0.000
Electronic total energy (eV/atom): -6.13
E above lowest polymorph (meV per atom): 0
Calculated volume (Å³ per atom): 30.56
Calculated formation energy (eV per formula unit): -2.58

Record 3
The following is a PBE calculation of La2Sn6Ru after structural relaxation, from Alexandria.

The structure in POSCAR format:
```
La2Sn6Ru
1.0
4.594 0.000 0.000
0.000 2.210 12.237
0.000 -2.210 12.237
La Sn Ru
2 6 1
Direct
0.000 0.000 0.000
0.000 0.335 0.335
0.000 0.605 0.605
0.000 0.724 0.724
0.500 0.101 0.101
0.500 0.221 0.221
0.500 0.466 0.466
0.500 0.888 0.888
0.500 0.782 0.782
```

Values from the calculation:
Total moment (μB per atom): 0.000
Electronic total energy (eV/atom): -5.24
Calculated volume (Å³ per atom): 27.61
Calculated formation energy (eV per formula unit): -3.98

Record 4
The following is a PBE calculation of La3SnRu after structural relaxation, from Alexandria.

The structure in POSCAR format:
```
La3SnRu
1.0
4.603 0.000 0.000
0.000 4.603 0.000
0.000 0.000 8.618
La Sn Ru
3 1 1
Direct
0.000 0.000 0.000
0.000 0.500 0.374
0.500 0.000 0.374
0.000 0.000 0.641
0.500 0.500 0.566
```

Values from the calculation:
Total moment (μB per atom): 0.174
Electronic total energy (eV/atom): -5.29
E above lowest polymorph (meV per atom): 837
Calculated volume (Å³ per atom): 36.52
Calculated formation energy (eV per formula unit): 1.61

> Number 4 is which compound?

La3SnRu